No. 1
# PBE TaCdCl, relaxed
# ΔE_f (raw) (eV per atom): 0.396
data_TaCdCl
_chemical_formula_sum 'Ta1 Cd1 Cl1'
_symmetry_space_group_name_H-M 'P 1'
_symmetry_Int_Tables_number 1
_cell_length_a 4.6682
_cell_length_b 4.6682
_cell_length_c 3.0090
_cell_angle_alpha 90.00
_cell_angle_beta 90.00
_cell_angle_gamma 120.00
loop_
_symmetry_equiv_pos_as_xyz
'x,y,z'
loop_
_atom_site_label
_atom_site_type_symbol
_atom_site_fract_x
_atom_site_fract_y
_atom_site_fract_z
Cl1 Cl 0.6667 0.3333 0.5001
Cd1 Cd 0.0000 0.0000 0.9999
Ta1 Ta 0.3333 0.6667 0.5000

---

No. 2
# PBE TaCdCl, relaxed
# ΔE_f (raw) (eV per atom): -0.240
data_TaCdCl
_chemical_formula_sum 'Ta2 Cd2 Cl2'
_symmetry_space_group_name_H-M 'P 1'
_symmetry_Int_Tables_number 1
_cell_length_a 8.4220
_cell_length_b 3.0964
_cell_length_c 5.3747
_cell_angle_alpha 90.00
_cell_angle_beta 104.18
_cell_angle_gamma 90.00
loop_
_symmetry_equiv_pos_as_xyz
'x,y,z'
loop_
_atom_site_label
_atom_site_type_symbol
_atom_site_fract_x
_atom_site_fract_y
_atom_site_fract_z
Cl1 Cl 0.1355 0.0000 0.6131
Cl2 Cl 0.1355 0.5000 0.1131
Cd1 Cd 0.6220 0.0000 0.7499
Cd2 Cd 0.6220 0.5000 0.2499
Ta1 Ta 0.9223 0.0000 0.1982
Ta2 Ta 0.9223 0.5000 0.6982

---

No. 3
# PBE TaCdCl2, relaxed
# ΔE_f (raw) (eV per atom): -0.437
data_TaCdCl2
_chemical_formula_sum 'Ta1 Cd1 Cl2'
_symmetry_space_group_name_H-M 'P 1'
_symmetry_Int_Tables_number 1
_cell_length_a 7.2660
_cell_length_b 7.2660
_cell_length_c 5.4425
_cell_angle_alpha 67.98
_cell_angle_beta 67.98
_cell_angle_gamma 23.72
loop_
_symmetry_equiv_pos_as_xyz
'x,y,z'
loop_
_atom_site_label
_atom_site_type_symbol
_atom_site_fract_x
_atom_site_fract_y
_atom_site_fract_z
Cl1 Cl 0.9019 0.9019 0.0977
Cl2 Cl 0.5981 0.5981 0.4023
Cd1 Cd 0.7500 0.7500 0.7500
Ta1 Ta 0.2500 0.2500 0.2500

---

No. 4
# PBE TaCdCl, relaxed
# ΔE_f (raw) (eV per atom): 0.037
data_TaCdCl
_chemical_formula_sum 'Ta1 Cd1 Cl1'
_symmetry_space_group_name_H-M 'P 1'
_symmetry_Int_Tables_number 1
_cell_length_a 7.8144
_cell_length_b 7.8144
_cell_length_c 7.8144
_cell_angle_alpha 157.80
_cell_angle_beta 157.80
_cell_angle_gamma 31.60
loop_
_symmetry_equiv_pos_as_xyz
'x,y,z'
loop_
_atom_site_label
_atom_site_type_symbol
_atom_site_fract_x
_atom_site_fract_y
_atom_site_fract_z
Cl1 Cl 0.2867 0.2867 0.0000
Cd1 Cd 0.0375 0.0375 0.0000
Ta1 Ta 0.6758 0.6758 0.0000

---

No. 5
# PBE TaCdCl2, relaxed
# ΔE_f (raw) (eV per atom): 0.524
data_TaCdCl2
_chemical_formula_sum 'Ta1 Cd1 Cl2'
_symmetry_space_group_name_H-M 'P 1'
_symmetry_Int_Tables_number 1
_cell_length_a 4.7372
_cell_length_b 4.7372
_cell_length_c 4.7372
_cell_angle_alpha 60.00
_cell_angle_beta 60.00
_cell_angle_gamma 60.00
loop_
_symmetry_equiv_pos_as_xyz
'x,y,z'
loop_
_atom_site_label
_atom_site_type_symbol
_atom_site_fract_x
_atom_site_fract_y
_atom_site_fract_z
Cl1 Cl 0.2500 0.2500 0.2500
Cl2 Cl 0.7500 0.7500 0.7500
Cd1 Cd 0.0000 0.0000 0.0000
Ta1 Ta 0.5000 0.5000 0.5000

---

No. 6
# PBE TaCdCl, relaxed
# ΔE_f (raw) (eV per atom): -0.256
data_TaCdCl
_chemical_formula_sum 'Ta1 Cd1 Cl1'
_symmetry_space_group_name_H-M 'P 1'
_symmetry_Int_Tables_number 1
_cell_length_a 3.1109
_cell_length_b 3.1112
_cell_length_c 8.2454
_cell_angle_alpha 86.43
_cell_angle_beta 84.19
_cell_angle_gamma 59.99
loop_
_symmetry_equiv_pos_as_xyz
'x,y,z'
loop_
_atom_site_label
_atom_site_type_symbol
_atom_site_fract_x
_atom_site_fract_y
_atom_site_fract_z
Cl1 Cl 0.8473 0.4796 0.8678
Cd1 Cd 0.7212 0.4585 0.3737
Ta1 Ta 0.1283 0.8042 0.0787

---

No. 7
# PBE TaCdCl2, relaxed
# ΔE_f (raw) (eV per atom): 0.527
data_TaCdCl2
_chemical_formula_sum 'Ta1 Cd1 Cl2'
_symmetry_space_group_name_H-M 'P 1'
_symmetry_Int_Tables_number 1
_cell_length_a 5.1589
_cell_length_b 5.1589
_cell_length_c 3.0935
_cell_angle_alpha 90.00
_cell_angle_beta 90.00
_cell_angle_gamma 90.00
loop_
_symmetry_equiv_pos_as_xyz
'x,y,z'
loop_
_atom_site_label
_atom_site_type_symbol
_atom_site_fract_x
_atom_site_fract_y
_atom_site_fract_z
Cl1 Cl 0.0000 0.0000 0.0000
Cl2 Cl 0.5000 0.5000 0.0000
Cd1 Cd 0.0000 0.5000 0.5000
Ta1 Ta 0.5000 0.0000 0.5000

---

No. 8
# PBE TaCdCl2, relaxed
# ΔE_f (raw) (eV per atom): 0.735
data_TaCdCl2
_chemical_formula_sum 'Ta1 Cd1 Cl2'
_symmetry_space_group_name_H-M 'P 1'
_symmetry_Int_Tables_number 1
_cell_length_a 4.9646
_cell_length_b 4.9646
_cell_length_c 4.9646
_cell_angle_alpha 60.00
_cell_angle_beta 60.00
_cell_angle_gamma 60.00
loop_
_symmetry_equiv_pos_as_xyz
'x,y,z'
loop_
_atom_site_label
_atom_site_type_symbol
_atom_site_fract_x
_atom_site_fract_y
_atom_site_fract_z
Cl1 Cl 0.0000 0.0000 0.0000
Cl2 Cl 0.7500 0.7500 0.7500
Cd1 Cd 0.5000 0.5000 0.5000
Ta1 Ta 0.2500 0.2500 0.2500

---

No. 9
# PBE TaCdCl2, relaxed
# ΔE_f (raw) (eV per atom): -0.217
data_TaCdCl2
_chemical_formula_sum 'Ta1 Cd1 Cl2'
_symmetry_space_group_name_H-M 'P 1'
_symmetry_Int_Tables_number 1
_cell_length_a 3.1477
_cell_length_b 3.1477
_cell_length_c 8.4278
_cell_angle_alpha 90.00
_cell_angle_beta 90.00
_cell_angle_gamma 90.00
loop_
_symmetry_equiv_pos_as_xyz
'x,y,z'
loop_
_atom_site_label
_atom_site_type_symbol
_atom_site_fract_x
_atom_site_fract_y
_atom_site_fract_z
Cl1 Cl 0.0000 0.0000 0.9500
Cl2 Cl 0.5000 0.5000 0.3149
Cd1 Cd 0.5000 0.5000 0.7456
Ta1 Ta 0.0000 0.0000 0.4894

---

No. 10
# PBE TaCdCl2, relaxed
# ΔE_f (raw) (eV per atom): -0.440
data_TaCdCl2
_chemical_formula_sum 'Ta1 Cd1 Cl2'
_symmetry_space_group_name_H-M 'P 1'
_symmetry_Int_Tables_number 1
_cell_length_a 9.4833
_cell_length_b 9.4833
_cell_length_c 9.4833
_cell_angle_alpha 19.74
_cell_angle_beta 19.74
_cell_angle_gamma 19.74
loop_
_symmetry_equiv_pos_as_xyz
'x,y,z'
loop_
_atom_site_label
_atom_site_type_symbol
_atom_site_fract_x
_atom_site_fract_y
_atom_site_fract_z
Cl1 Cl 0.0167 0.0167 0.0167
Cl2 Cl 0.2303 0.2303 0.2303
Cd1 Cd 0.7501 0.7501 0.7501
Ta1 Ta 0.5029 0.5029 0.5029

---

No. 11
# PBE TaCdCl, relaxed
# ΔE_f (raw) (eV per atom): 1.140
data_TaCdCl
_chemical_formula_sum 'Ta1 Cd1 Cl1'
_symmetry_space_group_name_H-M 'P 1'
_symmetry_Int_Tables_number 1
_cell_length_a 4.4386
_cell_length_b 4.4386
_cell_length_c 4.4386
_cell_angle_alpha 60.00
_cell_angle_beta 60.00
_cell_angle_gamma 60.00
loop_
_symmetry_equiv_pos_as_xyz
'x,y,z'
loop_
_atom_site_label
_atom_site_type_symbol
_atom_site_fract_x
_atom_site_fract_y
_atom_site_fract_z
Cl1 Cl 0.7500 0.7500 0.7500
Cd1 Cd 0.5000 0.5000 0.5000
Ta1 Ta 0.0000 0.0000 0.0000

---

No. 12
# PBE TaCdCl2, relaxed
# ΔE_f (raw) (eV per atom): 0.477
data_TaCdCl2
_chemical_formula_sum 'Ta1 Cd1 Cl2'
_symmetry_space_group_name_H-M 'P 1'
_symmetry_Int_Tables_number 1
_cell_length_a 5.1112
_cell_length_b 5.1112
_cell_length_c 5.1112
_cell_angle_alpha 129.89
_cell_angle_beta 129.89
_cell_angle_gamma 73.58
loop_
_symmetry_equiv_pos_as_xyz
'x,y,z'
loop_
_atom_site_label
_atom_site_type_symbol
_atom_site_fract_x
_atom_site_fract_y
_atom_site_fract_z
Cl1 Cl 0.0000 0.0000 0.0000
Cl2 Cl 0.5000 0.5000 0.0000
Cd1 Cd 0.7500 0.2500 0.5000
Ta1 Ta 0.2500 0.7500 0.5000

---

No. 13
# PBE TaCdCl3, relaxed
# ΔE_f (raw) (eV per atom): -0.431
data_TaCdCl3
_chemical_formula_sum 'Ta1 Cd1 Cl3'
_symmetry_space_group_name_H-M 'P 1'
_symmetry_Int_Tables_number 1
_cell_length_a 4.9265
_cell_length_b 4.9265
_cell_length_c 4.9265
_cell_angle_alpha 90.00
_cell_angle_beta 90.00
_cell_angle_gamma 90.00
loop_
_symmetry_equiv_pos_as_xyz
'x,y,z'
loop_
_atom_site_label
_atom_site_type_symbol
_atom_site_fract_x
_atom_site_fract_y
_atom_site_fract_z
Cl1 Cl 0.0000 0.5000 0.0000
Cl2 Cl 0.0000 0.0000 0.5000
Cl3 Cl 0.5000 0.0000 0.0000
Ta1 Ta 0.0000 0.0000 0.0000
Cd1 Cd 0.5000 0.5000 0.5000

---

No. 14
# PBE TaCdCl2, relaxed
# ΔE_f (raw) (eV per atom): -0.412
data_TaCdCl2
_chemical_formula_sum 'Ta1 Cd1 Cl2'
_symmetry_space_group_name_H-M 'P 1'
_symmetry_Int_Tables_number 1
_cell_length_a 7.0914
_cell_length_b 7.0914
_cell_length_c 7.0501
_cell_angle_alpha 48.75
_cell_angle_beta 48.75
_cell_angle_gamma 24.81
loop_
_symmetry_equiv_pos_as_xyz
'x,y,z'
loop_
_atom_site_label
_atom_site_type_symbol
_atom_site_fract_x
_atom_site_fract_y
_atom_site_fract_z
Cl1 Cl 0.9868 0.9868 0.0964
Cl2 Cl 0.1477 0.1477 0.3845
Cd1 Cd 0.8140 0.8140 0.7469
Ta1 Ta 0.5514 0.5514 0.2722

---

No. 15
# PBE TaCdCl2, relaxed
# ΔE_f (raw) (eV per atom): -0.540
data_TaCdCl2
_chemical_formula_sum 'Ta1 Cd1 Cl2'
_symmetry_space_group_name_H-M 'P 1'
_symmetry_Int_Tables_number 1
_cell_length_a 10.7374
_cell_length_b 10.7374
_cell_length_c 10.7374
_cell_angle_alpha 16.75
_cell_angle_beta 16.75
_cell_angle_gamma 16.75
loop_
_symmetry_equiv_pos_as_xyz
'x,y,z'
loop_
_atom_site_label
_atom_site_type_symbol
_atom_site_fract_x
_atom_site_fract_y
_atom_site_fract_z
Cl1 Cl 0.9736 0.9736 0.9736
Cl2 Cl 0.5264 0.5264 0.5264
Cd1 Cd 0.7500 0.7500 0.7500
Ta1 Ta 0.2500 0.2500 0.2500